1.
# CdGa2Ag2, optimized geometry, DFT PBE-GGA
# - VASP energy: -24.87 eV per cell
data_CdGa2Ag2
_chemical_formula_sum 'Cd2 Ga4 Ag4'
_symmetry_space_group_name_H-M 'I 4/m m m'
_symmetry_Int_Tables_number 139
_symmetry_space_group_name_Hall '-I 4 2'
_cell_length_a 3.7863
_cell_length_b 3.7863
_cell_length_c 13.7239
_cell_angle_alpha 90.00
_cell_angle_beta 90.00
_cell_angle_gamma 90.00
loop_
_atom_site_label
_atom_site_fract_x
_atom_site_fract_y
_atom_site_fract_z
Cd1 0.0000 0.0000 0.0000
Ga1 0.0000 0.5000 0.2500
Ag1 0.0000 0.0000 0.3983


2.
# CdGaAg3, optimized geometry, DFT PBE-GGA
# - VASP energy: -24.69 eV per cell
data_CdGaAg3
_chemical_formula_sum 'Cd2 Ga2 Ag6'
_symmetry_space_group_name_H-M 'P -1'
_symmetry_Int_Tables_number 2
_symmetry_space_group_name_Hall '-P 1'
_cell_length_a 4.0952
_cell_length_b 5.0529
_cell_length_c 10.2262
_cell_angle_alpha 96.17
_cell_angle_beta 90.09
_cell_angle_gamma 113.43
loop_
_atom_site_label
_atom_site_fract_x
_atom_site_fract_y
_atom_site_fract_z
Cd1 0.1365 0.2774 0.4337
Ga1 0.4490 0.9022 0.1192
Ag1 0.1548 0.3091 0.0481
Ag2 0.2713 0.5430 0.7511
Ag3 0.4261 0.8535 0.3664


3.
# CdGa2Ag2, optimized geometry, DFT PBE-GGA
# - VASP energy: -24.89 eV per cell
data_CdGa2Ag2
_chemical_formula_sum 'Cd2 Ga4 Ag4'
_symmetry_space_group_name_H-M 'P 4/m b m'
_symmetry_Int_Tables_number 127
_symmetry_space_group_name_Hall '-P 4 2ab'
_cell_length_a 8.1001
_cell_length_b 8.1001
_cell_length_c 2.9688
_cell_angle_alpha 90.00
_cell_angle_beta 90.00
_cell_angle_gamma 90.00
loop_
_atom_site_label
_atom_site_fract_x
_atom_site_fract_y
_atom_site_fract_z
Cd1 0.0000 0.0000 0.0000
Ga1 0.1717 0.3283 0.5000
Ag1 0.1278 0.6278 0.0000


4.
# Cd5Ga2Ag, optimized geometry, DFT PBE-GGA
# - VASP energy: -26.51 eV per cell
data_Cd5Ga2Ag
_chemical_formula_sum 'Cd10 Ga4 Ag2'
_symmetry_space_group_name_H-M 'I 4/m m m'
_symmetry_Int_Tables_number 139
_symmetry_space_group_name_Hall '-I 4 2'
_cell_length_a 7.6794
_cell_length_b 7.6794
_cell_length_c 5.8340
_cell_angle_alpha 90.00
_cell_angle_beta 90.00
_cell_angle_gamma 90.00
loop_
_atom_site_label
_atom_site_fract_x
_atom_site_fract_y
_atom_site_fract_z
Cd1 0.0000 0.0000 0.0000
Cd2 0.2500 0.2500 0.2500
Ga1 0.0000 0.5000 0.0000
Ag1 0.0000 0.0000 0.5000


5.
# Cd3Ga2Ag3, optimized geometry, DFT PBE-GGA
# - VASP energy: -69.64 eV per cell
data_Cd3Ga2Ag3
_chemical_formula_sum 'Cd12 Ga8 Ag12'
_symmetry_space_group_name_H-M 'C m c m'
_symmetry_Int_Tables_number 63
_symmetry_space_group_name_Hall '-C 2c 2'
_cell_length_a 3.0874
_cell_length_b 14.2626
_cell_length_c 14.4119
_cell_angle_alpha 90.00
_cell_angle_beta 90.00
_cell_angle_gamma 90.00
loop_
_atom_site_label
_atom_site_fract_x
_atom_site_fract_y
_atom_site_fract_z
Cd1 0.0000 0.0414 0.1425
Cd2 0.0000 0.3647 0.2500
Ga1 0.0000 0.2466 0.5818
Ag1 0.0000 0.3204 0.7500
Ag2 0.0000 0.4057 0.0321


6.
# Cd7GaAg12, optimized geometry, DFT PBE-GGA
# - VASP energy: -129.28 eV per cell
data_Cd7GaAg12
_chemical_formula_sum 'Cd21 Ga3 Ag36'
_symmetry_space_group_name_H-M 'R -3'
_symmetry_Int_Tables_number 148
_symmetry_space_group_name_Hall '-R 3'
_cell_length_a 12.6244
_cell_length_b 12.6244
_cell_length_c 8.5889
_cell_angle_alpha 90.00
_cell_angle_beta 90.00
_cell_angle_gamma 120.00
loop_
_atom_site_label
_atom_site_fract_x
_atom_site_fract_y
_atom_site_fract_z
Cd1 0.0000 0.0000 0.0000
Cd2 0.0577 0.2426 0.4155
Ga1 0.0000 0.0000 0.5000
Ag1 0.0569 0.2408 0.0801
Ag2 0.0580 0.2220 0.7531


7.
# Cd4GaAg5, optimized geometry, DFT PBE-GGA
# - VASP energy: -21.31 eV per cell
data_Cd4GaAg5
_chemical_formula_sum 'Cd4 Ga1 Ag5'
_symmetry_space_group_name_H-M 'P 4/m m m'
_symmetry_Int_Tables_number 123
_symmetry_space_group_name_Hall '-P 4 2'
_cell_length_a 3.4594
_cell_length_b 3.4594
_cell_length_c 15.9009
_cell_angle_alpha 90.00
_cell_angle_beta 90.00
_cell_angle_gamma 90.00
loop_
_atom_site_label
_atom_site_fract_x
_atom_site_fract_y
_atom_site_fract_z
Cd1 0.0000 0.0000 0.1019
Cd2 0.0000 0.0000 0.3052
Ga1 0.0000 0.0000 0.5000
Ag1 0.5000 0.5000 0.0000
Ag2 0.5000 0.5000 0.2042
Ag3 0.5000 0.5000 0.4072


8.
# Cd3Ga3Ag, optimized geometry, DFT PBE-GGA
# - VASP energy: -29.14 eV per cell
data_Cd3Ga3Ag
_chemical_formula_sum 'Cd6 Ga6 Ag2'
_symmetry_space_group_name_H-M 'P 63/m'
_symmetry_Int_Tables_number 176
_symmetry_space_group_name_Hall '-P 6c'
_cell_length_a 8.0576
_cell_length_b 8.0576
_cell_length_c 5.0368
_cell_angle_alpha 90.00
_cell_angle_beta 90.00
_cell_angle_gamma 120.00
loop_
_atom_site_label
_atom_site_fract_x
_atom_site_fract_y
_atom_site_fract_z
Cd1 0.0927 0.4776 0.2500
Ga1 0.0564 0.2269 0.7500
Ag1 0.3333 0.6667 0.7500